This record from OQMD describes an optimized crystal structure of ErLu2In3Fe2Cu. The functional is PBE.

a b c (Å): 3.8672 12.7892 7.3615
angles (deg): 90.00 90.00 90.00
Space group Amm2 (No. 38)
Asymmetric unit:
1 Er 0.0000 0.0000 0.0000
2 Lu 0.0000 0.2046 0.6146
3 In 0.5000 0.0000 0.6693
4 In 0.5000 0.1306 0.2807
5 Fe 0.5000 0.1678 0.9102
6 Cu 0.0000 0.0000 0.4111

Values from the calculation:
* crystal system: orthorhombic


This record from OQMD describes an optimized crystal structure of ErTm2In3Fe2Cu. The functional is PBE.

a b c (Å): 3.8739 12.8146 7.3923
angles (deg): 90.00 90.00 90.00
Space group Amm2 (No. 38)
Asymmetric unit:
1 Er 0.0000 0.0000 0.0000
2 Tm 0.0000 0.2049 0.6151
3 In 0.5000 0.0000 0.6691
4 In 0.5000 0.1298 0.2808
5 Fe 0.5000 0.1670 0.9102
6 Cu 0.0000 0.0000 0.4105

Values from the calculation:
* crystal system: orthorhombic


Result set for DFT total energy: -4.8913; -4.8870 eV per atom, one per record in the order listed.